A geometry-optimized LuNpAs2 structure. Source: Alexandria via LeMat-Bulk, functional PBE-GGA.

Cell lengths 7.0538, 7.0538, 7.0538 Å; angles 33.50, 33.50, 33.50 degrees
With the nearest neighbours (Å) after each atom.
Fractional positions:
Lu 0.0000 0.0000 0.0000  6 As 2.86
Np 0.5000 0.5000 0.5000  6 As 2.89
As 0.2513 0.2513 0.2513  3 Lu 2.86, 3 Np 2.89
As 0.7487 0.7487 0.7487  3 Lu 2.86, 3 Np 2.89

Computed properties:
The value obtained for the total energy is -7.7607 eV/atom. As for the space group: R-3m (166). The value obtained for the formation energy is -1.07 eV/atom. As for the total magnetic moment: 3.8 μB per cell.

---

A geometry-optimized BaPtBr2 structure. Source: Alexandria via LeMat-Bulk, functional PBE-GGA.

Cell lengths 5.3856, 5.3856, 5.3856 Å; angles 60.00, 60.00, 60.00 degrees
With the nearest neighbours (Å) after each atom.
Fractional positions:
Ba 0.0000 0.0000 0.0000  8 Br 3.30
Pt 0.5000 0.5000 0.5000  8 Br 3.30
Br 0.2500 0.2500 0.2500  4 Ba 3.30, 4 Pt 3.30
Br 0.7500 0.7500 0.7500  4 Ba 3.30, 4 Pt 3.30

Computed properties:
The value obtained for the total energy is -3.5243 eV/atom. Its offset from the most stable computed form is 0.3516 eV/atom. The formation energy from raw total energies comes out at -0.697 eV per atom. As for the space group: Fm-3m (225). As for the total magnetic moment: 0.0 μB per cell.

---

A geometry-optimized Th4Sb3Pb structure. Source: Alexandria via LeMat-Bulk, functional PBE-GGA.

Cell lengths 7.8422, 7.8422, 7.8422 Å; angles 131.88, 131.88, 70.42 degrees
With the nearest neighbours (Å) after each atom.
Fractional positions:
Th 0.0000 0.5000 0.5000  2 Pb 3.20, 4 Sb 3.20
Th 0.2476 0.2476 0.0000  5 Sb 3.17-3.20, 1 Pb 3.23
Th 0.5000 0.0000 0.5000  2 Pb 3.20, 4 Sb 3.20
Th 0.7524 0.7524 0.0000  5 Sb 3.17-3.20, 1 Pb 3.23
Sb 0.0000 0.0000 0.0000  6 Th 3.17-3.20
Sb 0.2500 0.7500 0.5000  6 Th 3.20
Sb 0.7500 0.2500 0.5000  6 Th 3.20
Pb 0.5000 0.5000 0.0000  6 Th 3.20-3.23

Computed properties:
The value obtained for the total energy is -6.4712 eV/atom. The formation energy from raw total energies comes out at -0.752 eV per atom. As for the space group: I4/mmm (139). As for the total magnetic moment: 0.0 μB per cell.

---

A geometry-optimized KInSn2Pd2 structure. Source: Alexandria via LeMat-Bulk, functional PBE-GGA.

Cell lengths 5.0609, 5.0609, 6.3784 Å; angles 90.00, 90.00, 90.00 degrees
With the nearest neighbours (Å) after each atom.
Fractional positions:
K 0.0000 0.0000 0.0000  2 In 3.19
In 0.0000 0.0000 0.5000  4 Pd 2.53
Sn 0.5000 0.5000 0.2586  4 Pd 2.96, 2 Sn 3.08-3.30
Sn 0.5000 0.5000 0.7414  4 Pd 2.96, 2 Sn 3.08-3.30
Pd 0.0000 0.5000 0.5000  2 In 2.53
Pd 0.5000 0.0000 0.5000  2 In 2.53

Computed properties:
The value obtained for the total energy is -3.9064 eV/atom. As for the space group: P4/mmm (123). The value obtained for the formation energy is -0.20 eV/atom. As for the total magnetic moment: 0.0 μB per cell.

---

A geometry-optimized NdCd2GePd2 structure. Source: Alexandria via LeMat-Bulk, functional PBE-GGA.

Cell lengths 6.5166, 6.5166, 6.5166 Å; angles 132.56, 132.56, 69.34 degrees
With the nearest neighbours (Å) after each atom.
Fractional positions:
Nd 0.0000 0.0000 0.0000  2 Pd 3.00
Cd 0.2500 0.7500 0.5000  4 Pd 2.64
Cd 0.7500 0.2500 0.5000  4 Pd 2.64
Ge 0.5000 0.5000 0.0000  2 Pd 2.36
Pd 0.2796 0.2796 0.0000  1 Ge 2.36, 4 Cd 2.64
Pd 0.7204 0.7204 0.0000  1 Ge 2.36, 4 Cd 2.64

Computed properties:
The value obtained for the total energy is -3.8067 eV/atom. As for the space group: I4/mmm (139). The value obtained for the formation energy is -0.21 eV/atom. As for the total magnetic moment: 0.0 μB per cell.

---

A geometry-optimized Cr2Pt2Br structure. Source: Alexandria via LeMat-Bulk, functional PBE-GGA.

Cell lengths 7.4137, 7.4137, 7.4137 Å; angles 150.45, 150.45, 42.28 degrees
With the nearest neighbours (Å) after each atom.
Fractional positions:
Cr 0.1174 0.1174 0.0000  4 Pt 2.63
Cr 0.8826 0.8826 0.0000  4 Pt 2.63
Pt 0.2500 0.7500 0.5000  4 Cr 2.63, 4 Pt 2.67
Pt 0.7500 0.2500 0.5000  4 Cr 2.63, 4 Pt 2.67
Br 0.5000 0.5000 0.0000  8 Cr 3.13

Computed properties:
The value obtained for the total energy is -6.3654 eV/atom. Its offset from the most stable computed form is 0.0346 eV/atom. The formation energy from raw total energies comes out at 0.235 eV per atom. As for the space group: I4/mmm (139). As for the total magnetic moment: 7.9 μB per cell.

---

A geometry-optimized LiPuRh2 structure. Source: Alexandria via LeMat-Bulk, functional PBE-GGA.

Cell lengths 4.1976, 4.1976, 3.6886 Å; angles 90.00, 90.00, 90.00 degrees
With the nearest neighbours (Å) after each atom.
Fractional positions:
Li 0.0000 0.0000 0.0000  8 Rh 2.79, 4 Pu 2.97
Pu 0.5000 0.5000 0.0000  8 Rh 2.79, 4 Li 2.97
Rh 0.0000 0.5000 0.5000  4 Pu 2.79, 4 Li 2.79, 4 Rh 2.97
Rh 0.5000 0.0000 0.5000  4 Pu 2.79, 4 Li 2.79, 4 Rh 2.97

Computed properties:
The value obtained for the total energy is -8.1495 eV/atom. As for the space group: P4/mmm (123). The value obtained for the formation energy is -0.41 eV/atom. As for the total magnetic moment: 4.0 μB per cell.

---

A geometry-optimized CuAsI2 structure. Source: Alexandria via LeMat-Bulk, functional PBE-GGA.

Cell lengths 6.6498, 6.6498, 6.6498 Å; angles 111.71, 111.71, 105.08 degrees
With the nearest neighbours (Å) after each atom.
Fractional positions:
Cu 0.0000 0.0000 0.0000  4 I 2.66
Cu 0.7500 0.2500 0.5000  4 I 2.66
As 0.2500 0.7500 0.5000  4 I 3.00
As 0.5000 0.5000 0.0000  4 I 3.00
I 0.0903 0.6250 0.9653  2 Cu 2.66
I 0.3750 0.3403 0.4653  2 Cu 2.66
I 0.6597 0.1250 0.0347  2 Cu 2.66
I 0.8750 0.9097 0.5347  2 Cu 2.66

Computed properties:
The value obtained for the total energy is -2.5707 eV/atom. Its offset from the most stable computed form is 0.0000 eV/atom. The formation energy from raw total energies comes out at 0.391 eV per atom. As for the space group: I-42d (122). As for the total magnetic moment: 0.0 μB per cell.

---

A geometry-optimized Pr6GeSe3Cl2 structure. Source: Alexandria via LeMat-Bulk, functional PBE-GGA.

Cell lengths 7.3994, 7.3994, 7.3493 Å; angles 99.56, 99.56, 120.10 degrees
With the nearest neighbours (Å) after each atom.
Fractional positions:
Pr 0.0869 0.4031 0.7583  3 Se 2.93-3.05, 1 Ge 2.95, 2 Cl 3.09-3.10
Pr 0.2318 0.2318 0.2385  3 Se 2.97-3.05, 1 Ge 2.97, 2 Cl 3.11
Pr 0.4031 0.0869 0.7583  3 Se 2.93-3.05, 1 Ge 2.95, 2 Cl 3.09-3.10
Pr 0.5969 0.9131 0.2417  3 Se 2.93-3.05, 1 Ge 2.95, 2 Cl 3.09-3.10
Pr 0.7682 0.7682 0.7615  3 Se 2.97-3.05, 1 Ge 2.97, 2 Cl 3.11
Pr 0.9131 0.5969 0.2417  3 Se 2.93-3.05, 1 Ge 2.95, 2 Cl 3.09-3.10
Ge 0.0000 0.0000 0.5000  6 Pr 2.95-2.97
Se 0.1709 0.8291 0.0000  6 Pr 2.93-3.05
Se 0.5000 0.5000 0.0000  6 Pr 2.93-3.05
Se 0.8291 0.1709 0.0000  6 Pr 2.93-3.05
Cl 0.3325 0.6675 0.5000  6 Pr 3.09-3.11
Cl 0.6675 0.3325 0.5000  6 Pr 3.09-3.11

Computed properties:
The value obtained for the total energy is -5.5365 eV/atom. The formation energy from raw total energies comes out at -1.583 eV per atom. As for the space group: C2/m (12). As for the total magnetic moment: 0.0 μB per cell.

---

A geometry-optimized CrCuTcPd2 structure. Source: Alexandria via LeMat-Bulk, functional PBE-GGA.

Cell lengths 4.4487, 4.4487, 4.2434 Å; angles 90.00, 90.00, 90.00 degrees
With the nearest neighbours (Å) after each atom.
Fractional positions:
Cr 0.0000 0.0000 0.0000  2 Cu 2.12
Cu 0.0000 0.0000 0.5000  2 Cr 2.12, 4 Pd 2.22
Tc 0.5000 0.5000 0.0000  8 Pd 3.07, 4 Cr 3.15
Pd 0.0000 0.5000 0.5000  2 Cu 2.22
Pd 0.5000 0.0000 0.5000  2 Cu 2.22

Computed properties:
The value obtained for the total energy is -5.4343 eV/atom. As for the space group: P4/mmm (123). The value obtained for the formation energy is 1.46 eV/atom. As for the total magnetic moment: 0.0 μB per cell.

---

A geometry-optimized HoTm3Ru structure. Source: Alexandria via LeMat-Bulk, functional PBE-GGA.

Cell lengths 8.7030, 8.7030, 9.4305 Å; angles 105.63, 105.63, 23.30 degrees
With the nearest neighbours (Å) after each atom.
Fractional positions:
Ho 0.1933 0.1933 0.3101  2 Ru 2.86
Ho 0.8067 0.8067 0.6899  2 Ru 2.86
Tm 0.1847 0.1847 0.8689  3 Ru 2.83-2.94
Tm 0.4009 0.4009 0.4592  7 Tm 3.25-3.54, 3 Ho 3.43-3.51
Tm 0.4984 0.4984 0.8231  2 Ru 2.78
Tm 0.5016 0.5016 0.1769  2 Ru 2.78
Tm 0.5991 0.5991 0.5408  7 Tm 3.25-3.54, 3 Ho 3.43-3.51
Tm 0.8153 0.8153 0.1311  3 Ru 2.83-2.94
Ru 0.3638 0.3638 0.9359  5 Tm 2.78-2.94, 2 Ho 2.86
Ru 0.6362 0.6362 0.0641  5 Tm 2.78-2.94, 2 Ho 2.86

Computed properties:
The value obtained for the total energy is -5.5410 eV/atom. Its offset from the most stable computed form is 0.1372 eV/atom. As for the space group: C2/m (12). The value obtained for the formation energy is -0.09 eV/atom. As for the total magnetic moment: 0.6 μB per cell.

---

A geometry-optimized RbScN2O structure. Source: Alexandria via LeMat-Bulk, functional PBE-GGA.

Cell lengths 4.2790, 4.2790, 4.1453 Å; angles 90.00, 90.00, 90.00 degrees
With the nearest neighbours (Å) after each atom.
Fractional positions:
Rb 0.0000 0.0000 0.0000  2 O 2.07, 4 N 2.14
Sc 0.5000 0.5000 0.5000  8 N 2.98, 4 O 3.03
N 0.0000 0.5000 0.0000  2 Rb 2.14
N 0.5000 0.0000 0.0000  2 Rb 2.14
O 0.0000 0.0000 0.5000  2 Rb 2.07

Computed properties:
The value obtained for the total energy is -4.0801 eV/atom. The formation energy from raw total energies comes out at 1.701 eV per atom. As for the space group: P4/mmm (123). As for the total magnetic moment: 0.6 μB per cell.

---

A geometry-optimized Zr6Al5Zn structure. Source: Alexandria via LeMat-Bulk, functional PBE-GGA.

Cell lengths 6.8421, 6.8421, 8.2351 Å; angles 90.00, 90.00, 143.14 degrees
With the nearest neighbours (Å) after each atom.
Fractional positions:
Zr 0.0000 0.0000 0.2485  2 Zn 2.98, 6 Al 2.99, 4 Zr 3.06
Zr 0.0000 0.0000 0.7515  2 Zn 2.98, 6 Al 2.99, 4 Zr 3.06
Zr 0.3335 0.6665 0.2499  7 Al 2.97-2.99, 1 Zn 2.98, 4 Zr 3.06
Zr 0.3335 0.6665 0.7501  7 Al 2.97-2.99, 1 Zn 2.98, 4 Zr 3.06
Zr 0.6665 0.3335 0.2499  7 Al 2.97-2.99, 1 Zn 2.98, 4 Zr 3.06
Zr 0.6665 0.3335 0.7501  7 Al 2.97-2.99, 1 Zn 2.98, 4 Zr 3.06
Al 0.1661 0.8339 0.5000  8 Zr 2.99, 4 Al 3.05-3.07
Al 0.1682 0.8318 0.0000  8 Zr 2.97-2.99, 2 Al 3.03, 2 Zn 3.07
Al 0.5000 0.5000 0.5000  8 Zr 2.99, 4 Al 3.05
Al 0.8318 0.1682 0.0000  8 Zr 2.97-2.99, 2 Al 3.03, 2 Zn 3.07
Al 0.8339 0.1661 0.5000  8 Zr 2.99, 4 Al 3.05-3.07
Zn 0.5000 0.5000 0.0000  8 Zr 2.98, 4 Al 3.07

Computed properties:
The value obtained for the total energy is -6.3468 eV/atom. As for the space group: Cmmm (65). The value obtained for the formation energy is -0.41 eV/atom. As for the total magnetic moment: 0.0 μB per cell.